# AcLa5Nd2Er

AcLa5Nd2Er after structural relaxation (PBE, the Alexandria database).

```
data_AcLa5Nd2Er
_space_group_name_H-M_alt 'P 1'
_space_group_IT_number 1
_cell_length_a 9.259
_cell_length_b 9.259
_cell_length_c 10.180
_cell_angle_alpha 117.05
_cell_angle_beta 117.05
_cell_angle_gamma 90.00
loop_
_space_group_symop_operation_xyz
'x,y,z'
loop_
_atom_site_label
_atom_site_type_symbol
_atom_site_fract_x
_atom_site_fract_y
_atom_site_fract_z
Ac1 Ac 0.250 0.250 0.500
Ac2 Ac 0.750 0.750 0.500
La1 La 0.930 0.430 0.268
La2 La 0.663 0.163 0.732
La3 La 0.070 0.570 0.732
La4 La 0.163 0.070 0.732
La5 La 0.570 0.663 0.732
La6 La 0.837 0.930 0.268
La7 La 0.430 0.337 0.268
La8 La 0.337 0.837 0.268
La9 La 0.500 0.500 0.000
La10 La 0.000 0.000 0.000
Nd1 Nd 0.115 0.385 0.000
Nd2 Nd 0.615 0.115 0.000
Nd3 Nd 0.385 0.885 0.000
Nd4 Nd 0.885 0.615 0.000
Er1 Er 0.250 0.750 0.500
Er2 Er 0.750 0.250 0.500
```

=====

# AcLaNd6Er2

AcLaNd6Er2 after structural relaxation (PBE, the Alexandria database).

```
data_AcLaNd6Er2
_space_group_name_H-M_alt 'P 1'
_space_group_IT_number 1
_cell_length_a 9.911
_cell_length_b 9.079
_cell_length_c 9.079
_cell_angle_alpha 117.42
_cell_angle_beta 93.38
_cell_angle_gamma 93.38
loop_
_space_group_symop_operation_xyz
'x,y,z'
loop_
_atom_site_label
_atom_site_type_symbol
_atom_site_fract_x
_atom_site_fract_y
_atom_site_fract_z
Ac1 Ac 0.250 0.968 0.032
Ac2 Ac 0.750 0.032 0.968
La1 La 0.250 0.408 0.592
La2 La 0.750 0.592 0.408
Nd1 Nd 0.055 0.113 0.751
Nd2 Nd 0.445 0.249 0.887
Nd3 Nd 0.945 0.887 0.249
Nd4 Nd 0.555 0.751 0.113
Nd5 Nd 0.323 0.982 0.445
Nd6 Nd 0.177 0.555 0.018
Nd7 Nd 0.677 0.018 0.555
Nd8 Nd 0.823 0.445 0.982
Nd9 Nd 0.121 0.706 0.490
Nd10 Nd 0.379 0.510 0.294
Nd11 Nd 0.879 0.294 0.510
Nd12 Nd 0.621 0.490 0.706
Er1 Er 0.453 0.802 0.695
Er2 Er 0.047 0.305 0.198
Er3 Er 0.547 0.198 0.305
Er4 Er 0.953 0.695 0.802
```

=====

# AcLa2NdEr

AcLa2NdEr after structural relaxation (PBE, the Alexandria database).

```
data_AcLa2NdEr
_space_group_name_H-M_alt 'P 1'
_space_group_IT_number 1
_cell_length_a 7.648
_cell_length_b 8.189
_cell_length_c 7.378
_cell_angle_alpha 123.71
_cell_angle_beta 90.00
_cell_angle_gamma 90.00
loop_
_space_group_symop_operation_xyz
'x,y,z'
loop_
_atom_site_label
_atom_site_type_symbol
_atom_site_fract_x
_atom_site_fract_y
_atom_site_fract_z
Ac1 Ac 0.250 0.758 0.515
Ac2 Ac 0.750 0.242 0.485
La1 La 0.500 0.296 0.000
La2 La 0.000 0.704 0.000
La3 La 0.500 0.704 0.000
La4 La 0.000 0.296 0.000
Nd1 Nd 0.250 0.061 0.122
Nd2 Nd 0.750 0.939 0.878
Er1 Er 0.750 0.693 0.385
Er2 Er 0.250 0.307 0.615
```

=====

# AcLa2Nd2Er2

AcLa2Nd2Er2 after structural relaxation (PBE, the Alexandria database).

```
data_AcLa2Nd2Er2
_space_group_name_H-M_alt 'P 1'
_space_group_IT_number 1
_cell_length_a 5.264
_cell_length_b 6.432
_cell_length_c 8.177
_cell_angle_alpha 97.44
_cell_angle_beta 90.00
_cell_angle_gamma 114.15
loop_
_space_group_symop_operation_xyz
'x,y,z'
loop_
_atom_site_label
_atom_site_type_symbol
_atom_site_fract_x
_atom_site_fract_y
_atom_site_fract_z
Ac1 Ac 0.000 0.000 0.000
La1 La 0.715 0.430 0.152
La2 La 0.285 0.570 0.848
Nd1 Nd 0.574 0.149 0.705
Nd2 Nd 0.426 0.851 0.295
Er1 Er 0.142 0.285 0.433
Er2 Er 0.858 0.715 0.567
```

=====

# Ac5La2NdEr

Ac5La2NdEr after structural relaxation (PBE, the Alexandria database).

```
data_Ac5La2NdEr
_space_group_name_H-M_alt 'P 1'
_space_group_IT_number 1
_cell_length_a 8.495
_cell_length_b 8.495
_cell_length_c 11.960
_cell_angle_alpha 110.80
_cell_angle_beta 110.80
_cell_angle_gamma 90.00
loop_
_space_group_symop_operation_xyz
'x,y,z'
loop_
_atom_site_label
_atom_site_type_symbol
_atom_site_fract_x
_atom_site_fract_y
_atom_site_fract_z
Ac1 Ac 0.909 0.409 0.279
Ac2 Ac 0.630 0.130 0.721
Ac3 Ac 0.091 0.591 0.721
Ac4 Ac 0.130 0.091 0.721
Ac5 Ac 0.591 0.630 0.721
Ac6 Ac 0.870 0.909 0.279
Ac7 Ac 0.409 0.370 0.279
Ac8 Ac 0.370 0.870 0.279
Ac9 Ac 0.500 0.500 0.000
Ac10 Ac 0.000 0.000 0.000
La1 La 0.122 0.378 0.000
La2 La 0.622 0.122 0.000
La3 La 0.378 0.878 0.000
La4 La 0.878 0.622 0.000
Nd1 Nd 0.250 0.250 0.500
Nd2 Nd 0.750 0.750 0.500
Er1 Er 0.250 0.750 0.500
Er2 Er 0.750 0.250 0.500
```

=====

# Ac2LaNd2Er

Ac2LaNd2Er after structural relaxation (PBE, the Alexandria database).

```
data_Ac2LaNd2Er
_space_group_name_H-M_alt 'P 1'
_space_group_IT_number 1
_cell_length_a 5.956
_cell_length_b 7.397
_cell_length_c 10.314
_cell_angle_alpha 90.00
_cell_angle_beta 90.00
_cell_angle_gamma 90.00
loop_
_space_group_symop_operation_xyz
'x,y,z'
loop_
_atom_site_label
_atom_site_type_symbol
_atom_site_fract_x
_atom_site_fract_y
_atom_site_fract_z
Ac1 Ac 0.500 0.008 0.000
Ac2 Ac 0.000 0.257 0.172
Ac3 Ac 0.500 0.508 0.000
Ac4 Ac 0.000 0.757 0.828
La1 La 0.000 0.008 0.500
La2 La 0.000 0.508 0.500
Nd1 Nd 0.000 0.257 0.827
Nd2 Nd 0.500 0.258 0.342
Nd3 Nd 0.000 0.757 0.173
Nd4 Nd 0.500 0.758 0.658
Er1 Er 0.500 0.258 0.665
Er2 Er 0.500 0.758 0.335
```

=====

| no. | Fermi-level density of states (states/eV/atom) | energy of formation (meV/atom) |
| --- | --- | --- |
| 1 | 1.681 | 246.0 |
| 2 | 1.409 | 115.7 |
| 3 | 1.266 | 321.2 |
| 4 | 1.719 | 37.2 |
| 5 | 1.591 | 262.5 |
| 6 | 1.519 | 74.1 |